An optimized crystal structure of TiHgPb3, computed with PBE-GGA.

a b c (Å): 5.6237 5.6237 5.6237
angles (deg): 90.00 90.00 90.00
Positions (direct):
Pb: 0.0000 0.5000 0.0000
Pb: 0.0000 0.0000 0.5000
Pb: 0.5000 0.0000 0.0000
Hg: 0.0000 0.0000 0.0000
Ti: 0.5000 0.5000 0.5000

Computed properties:
* magnetic moment: 0.05 μB/cell
* ΔE to the lowest computed polymorph: 800 meV per atom
* formation energy: 1.011 eV per atom
* calculated total energy: -0.2097 Ry/atom


An optimized crystal structure of TiHg3Pb, computed with PBE-GGA.

a b c (Å): 5.3167 5.3167 5.3167
angles (deg): 90.00 90.00 90.00
Site moments in Bohr magnetons follow the coordinates.
Positions (direct):
Pb: 0.5000 0.5000 0.5000  -0.04
Hg: 0.0000 0.5000 0.0000  0.02
Hg: 0.0000 0.0000 0.5000  0.00
Hg: 0.5000 0.0000 0.0000  0.06
Ti: 0.0000 0.0000 0.0000  0.85

Computed properties:
* magnetic moment: 0.96 μB/cell
* ΔE to the lowest computed polymorph: 0 meV per atom
* formation energy: 0.446 eV per atom
* calculated total energy: -0.1511 Ry/atom


An optimized crystal structure of TiHgPb3, computed with PBE-GGA.

a b c (Å): 5.4533 5.4533 5.4533
angles (deg): 90.00 90.00 90.00
Positions (direct):
Pb: 0.0000 0.5000 0.0000
Pb: 0.0000 0.0000 0.5000
Pb: 0.5000 0.0000 0.0000
Hg: 0.5000 0.5000 0.5000
Ti: 0.0000 0.0000 0.0000

Computed properties:
* magnetic moment: 0.00 μB/cell
* ΔE to the lowest computed polymorph: 0 meV per atom
* formation energy: 0.211 eV per atom
* calculated total energy: -0.2685 Ry/atom


An optimized crystal structure of Ti7Hg2Pb2, computed with PBE-GGA.

a b c (Å): 5.2917 7.2592 7.2592
angles (deg): 82.74 62.52 62.52
Site moments in Bohr magnetons follow the coordinates.
Positions (direct):
Ti: 0.6781 0.0836 0.5895  0.54
Ti: 0.3219 0.4105 0.9164  0.54
Ti: 0.3219 0.9164 0.4105  0.54
Ti: 0.6781 0.5895 0.0836  0.54
Ti: 0.5000 0.0000 0.0000  0.51
Ti: 0.1460 0.5970 0.5970  -0.54
Ti: 0.8540 0.4030 0.4030  -0.54
Hg: 0.5279 0.2570 0.2570  0.01
Hg: 0.4721 0.7430 0.7430  0.01
Pb: 0.0000 0.2210 0.7790  -0.02
Pb: 0.0000 0.7790 0.2210  -0.02

Computed properties:
* magnetic moment: 1.89 μB/cell
* formation energy: 0.119 eV per atom
* calculated total energy: -0.4141 Ry/atom


An optimized crystal structure of Ti12HgPb3, computed with PBE-GGA.

a b c (Å): 5.2576 5.2678 10.5435
angles (deg): 90.00 90.00 90.00
Positions (direct):
Ti: 0.5000 0.0000 0.3800
Ti: 0.5000 0.0000 0.8717
Ti: 0.7495 0.5000 0.0000
Ti: 0.7538 0.5000 0.5000
Ti: 0.0000 0.7525 0.2535
Ti: 0.0000 0.7525 0.7465
Ti: 0.5000 0.0000 0.1283
Ti: 0.5000 0.0000 0.6200
Ti: 0.2505 0.5000 0.0000
Ti: 0.2462 0.5000 0.5000
Ti: 0.0000 0.2475 0.2535
Ti: 0.0000 0.2475 0.7465
Hg: 0.0000 0.0000 0.5000
Pb: 0.5000 0.5000 0.2498
Pb: 0.5000 0.5000 0.7502
Pb: 0.0000 0.0000 0.0000

Computed properties:
* magnetic moment: 0.03 μB/cell
* formation energy: -0.072 eV per atom
* calculated total energy: -0.4930 Ry/atom


An optimized crystal structure of Ti6HgPb, computed with PBE-GGA.

a b c (Å): 4.8133 5.9063 5.9063
angles (deg): 120.03 90.00 90.00
Positions (direct):
Ti: 0.0000 0.0748 0.4125
Ti: 0.0000 0.5875 0.9252
Ti: 0.0000 0.5871 0.4129
Ti: 0.5000 0.4220 0.0860
Ti: 0.5000 0.9140 0.5780
Ti: 0.5000 0.9143 0.0857
Hg: 0.5000 0.4166 0.5834
Pb: 0.0000 0.0833 0.9167

Computed properties:
* magnetic moment: 0.00 μB/cell
* formation energy: -0.043 eV per atom
* calculated total energy: -0.4752 Ry/atom